# 1
# PBE InTcRh, optimized geometry
# Energy above the lowest structure with this stoichiometry ... 351 meV/atom
# Magnetic moment ... 0.2321 μB per atom
# Energy relative to the elements ... 275 meV/atom
data_InTcRh
_chemical_formula_sum 'In4 Tc4 Rh4'
_cell_length_a 6.095
_cell_length_b 6.095
_cell_length_c 6.095
_cell_angle_alpha 90.00
_cell_angle_beta 90.00
_cell_angle_gamma 90.00
_symmetry_space_group_name_H-M 'P 1'
_symmetry_Int_Tables_number 1
_symmetry_space_group_name_Hall 'P 1'
loop_
_atom_site_label
_atom_site_type_symbol
_atom_site_fract_x
_atom_site_fract_y
_atom_site_fract_z
In1 In 0.000 0.000 0.000
In2 In 0.000 0.500 0.500
In3 In 0.500 0.000 0.500
In4 In 0.500 0.500 0.000
Tc1 Tc 0.000 0.000 0.500
Tc2 Tc 0.000 0.500 0.000
Tc3 Tc 0.500 0.000 0.000
Tc4 Tc 0.500 0.500 0.500
Rh1 Rh 0.250 0.250 0.250
Rh2 Rh 0.250 0.750 0.750
Rh3 Rh 0.750 0.250 0.750
Rh4 Rh 0.750 0.750 0.250



# 2
# PBE InTcRh, optimized geometry
# Energy above the lowest structure with this stoichiometry ... 53 meV/atom
# Magnetic moment ... 0.0000 μB per atom
# Energy relative to the elements ... -23 meV/atom
data_InTcRh
_chemical_formula_sum 'In2 Tc2 Rh2'
_cell_length_a 4.706
_cell_length_b 2.945
_cell_length_c 7.503
_cell_angle_alpha 90.00
_cell_angle_beta 107.84
_cell_angle_gamma 90.00
_symmetry_space_group_name_H-M 'P 1'
_symmetry_Int_Tables_number 1
_symmetry_space_group_name_Hall 'P 1'
loop_
_atom_site_label
_atom_site_type_symbol
_atom_site_fract_x
_atom_site_fract_y
_atom_site_fract_z
In1 In 0.037 0.250 0.319
In2 In 0.963 0.750 0.681
Tc1 Tc 0.287 0.250 0.017
Tc2 Tc 0.713 0.750 0.983
Rh1 Rh 0.462 0.250 0.679
Rh2 Rh 0.538 0.750 0.321



# 3
# PBE Ti2InTcRh, optimized geometry
# Magnetic moment ... 0.0005 μB per atom
# Energy relative to the elements ... 565 meV/atom
data_Ti2InTcRh
_chemical_formula_sum 'Ti2 In1 Tc1 Rh1'
_cell_length_a 4.651
_cell_length_b 4.651
_cell_length_c 4.784
_cell_angle_alpha 90.00
_cell_angle_beta 90.00
_cell_angle_gamma 90.00
_symmetry_space_group_name_H-M 'P 1'
_symmetry_Int_Tables_number 1
_symmetry_space_group_name_Hall 'P 1'
loop_
_atom_site_label
_atom_site_type_symbol
_atom_site_fract_x
_atom_site_fract_y
_atom_site_fract_z
Ti1 Ti 0.000 0.500 0.000
Ti2 Ti 0.500 0.000 0.000
In1 In 0.000 0.000 0.500
Tc1 Tc 0.500 0.500 0.500
Rh1 Rh 0.500 0.500 0.000



# 4
# PBE Ti5In2TcRh2, optimized geometry
# Magnetic moment ... 0.0000 μB per atom
# Energy relative to the elements ... -372 meV/atom
data_Ti5In2TcRh2
_chemical_formula_sum 'Ti10 In4 Tc2 Rh4'
_cell_length_a 10.601
_cell_length_b 10.601
_cell_length_c 3.137
_cell_angle_alpha 90.00
_cell_angle_beta 90.00
_cell_angle_gamma 90.00
_symmetry_space_group_name_H-M 'P 1'
_symmetry_Int_Tables_number 1
_symmetry_space_group_name_Hall 'P 1'
loop_
_atom_site_label
_atom_site_type_symbol
_atom_site_fract_x
_atom_site_fract_y
_atom_site_fract_z
Ti1 Ti 0.000 0.500 0.000
Ti2 Ti 0.064 0.189 0.000
Ti3 Ti 0.189 0.936 0.000
Ti4 Ti 0.311 0.436 0.000
Ti5 Ti 0.436 0.689 0.000
Ti6 Ti 0.500 0.000 0.000
Ti7 Ti 0.564 0.311 0.000
Ti8 Ti 0.689 0.564 0.000
Ti9 Ti 0.811 0.064 0.000
Ti10 Ti 0.936 0.811 0.000
In1 In 0.173 0.673 0.500
In2 In 0.327 0.173 0.500
In3 In 0.673 0.827 0.500
In4 In 0.827 0.327 0.500
Tc1 Tc 0.000 0.000 0.500
Tc2 Tc 0.500 0.500 0.500
Rh1 Rh 0.132 0.368 0.500
Rh2 Rh 0.368 0.868 0.500
Rh3 Rh 0.632 0.132 0.500
Rh4 Rh 0.868 0.632 0.500



# 5
# PBE TiInTcRh, optimized geometry
# Magnetic moment ... 0.0000 μB per atom
# Energy relative to the elements ... -346 meV/atom
data_TiInTcRh
_chemical_formula_sum 'Ti4 In4 Tc4 Rh4'
_cell_length_a 6.351
_cell_length_b 6.351
_cell_length_c 6.351
_cell_angle_alpha 90.00
_cell_angle_beta 90.00
_cell_angle_gamma 90.00
_symmetry_space_group_name_H-M 'P 1'
_symmetry_Int_Tables_number 1
_symmetry_space_group_name_Hall 'P 1'
loop_
_atom_site_label
_atom_site_type_symbol
_atom_site_fract_x
_atom_site_fract_y
_atom_site_fract_z
Ti1 Ti 0.000 0.000 0.000
Ti2 Ti 0.000 0.500 0.500
Ti3 Ti 0.500 0.000 0.500
Ti4 Ti 0.500 0.500 0.000
In1 In 0.000 0.000 0.500
In2 In 0.000 0.500 0.000
In3 In 0.500 0.000 0.000
In4 In 0.500 0.500 0.500
Tc1 Tc 0.250 0.250 0.250
Tc2 Tc 0.250 0.750 0.750
Tc3 Tc 0.750 0.250 0.750
Tc4 Tc 0.750 0.750 0.250
Rh1 Rh 0.250 0.250 0.750
Rh2 Rh 0.250 0.750 0.250
Rh3 Rh 0.750 0.250 0.250
Rh4 Rh 0.750 0.750 0.750



# 6
# PBE In2TcRhW, optimized geometry
# Magnetic moment ... 0.4099 μB per atom
# Energy relative to the elements ... 1520 meV/atom
data_In2TcRhW
_chemical_formula_sum 'In2 Tc1 Rh1 W1'
_cell_length_a 5.206
_cell_length_b 5.206
_cell_length_c 4.594
_cell_angle_alpha 90.00
_cell_angle_beta 90.00
_cell_angle_gamma 90.00
_symmetry_space_group_name_H-M 'P 1'
_symmetry_Int_Tables_number 1
_symmetry_space_group_name_Hall 'P 1'
loop_
_atom_site_label
_atom_site_type_symbol
_atom_site_fract_x
_atom_site_fract_y
_atom_site_fract_z
In1 In 0.000 0.500 0.000
In2 In 0.500 0.000 0.000
Tc1 Tc 0.000 0.000 0.500
Rh1 Rh 0.500 0.500 0.500
W1 W 0.000 0.000 0.000



# 7
# PBE In2TeRh, optimized geometry
# Magnetic moment ... 0.0000 μB per atom
# Uncorrected formation energy ... -0.1802 eV per atom
data_In2TeRh
_chemical_formula_sum 'In4 Te2 Rh2'
_cell_length_a 3.266
_cell_length_b 4.500
_cell_length_c 13.057
_cell_angle_alpha 90.00
_cell_angle_beta 90.00
_cell_angle_gamma 90.00
_symmetry_space_group_name_H-M 'P 1'
_symmetry_Int_Tables_number 1
_symmetry_space_group_name_Hall 'P 1'
loop_
_atom_site_label
_atom_site_type_symbol
_atom_site_fract_x
_atom_site_fract_y
_atom_site_fract_z
In1 In 0.000 0.000 0.000
In2 In 0.000 0.500 0.177
In3 In 0.500 0.000 0.677
In4 In 0.500 0.500 0.500
Te1 Te 0.000 0.500 0.820
Te2 Te 0.500 0.000 0.320
Rh1 Rh 0.000 0.000 0.490
Rh2 Rh 0.500 0.500 0.990



# 8
# PBE In3TeRh, optimized geometry
# Energy above the lowest structure with this stoichiometry ... 0 meV/atom
# Magnetic moment ... 0.0000 μB per atom
# Uncorrected formation energy ... -0.1881 eV per atom
data_In3TeRh
_chemical_formula_sum 'In3 Te1 Rh1'
_cell_length_a 5.194
_cell_length_b 5.194
_cell_length_c 5.194
_cell_angle_alpha 90.00
_cell_angle_beta 90.00
_cell_angle_gamma 90.00
_symmetry_space_group_name_H-M 'P 1'
_symmetry_Int_Tables_number 1
_symmetry_space_group_name_Hall 'P 1'
loop_
_atom_site_label
_atom_site_type_symbol
_atom_site_fract_x
_atom_site_fract_y
_atom_site_fract_z
In1 In 0.000 0.000 0.500
In2 In 0.000 0.500 0.000
In3 In 0.500 0.000 0.000
Te1 Te 0.500 0.500 0.500
Rh1 Rh 0.000 0.000 0.000



# 9
# PBE InTe2Rh, optimized geometry
# Magnetic moment ... 0.0000 μB per atom
# Uncorrected formation energy ... -0.2900 eV per atom
data_InTe2Rh
_chemical_formula_sum 'In3 Te6 Rh3'
_cell_length_a 4.061
_cell_length_b 4.061
_cell_length_c 22.326
_cell_angle_alpha 90.00
_cell_angle_beta 90.00
_cell_angle_gamma 120.00
_symmetry_space_group_name_H-M 'P 1'
_symmetry_Int_Tables_number 1
_symmetry_space_group_name_Hall 'P 1'
loop_
_atom_site_label
_atom_site_type_symbol
_atom_site_fract_x
_atom_site_fract_y
_atom_site_fract_z
In1 In 0.000 0.000 0.000
In2 In 0.333 0.667 0.667
In3 In 0.667 0.333 0.333
Te1 Te 0.000 0.000 0.555
Te2 Te 0.000 0.000 0.768
Te3 Te 0.333 0.667 0.222
Te4 Te 0.333 0.667 0.435
Te5 Te 0.667 0.333 0.102
Te6 Te 0.667 0.333 0.889
Rh1 Rh 0.000 0.000 0.162
Rh2 Rh 0.333 0.667 0.829
Rh3 Rh 0.667 0.333 0.496



# 10
# PBE InTeRh2, optimized geometry
# Energy above the lowest structure with this stoichiometry ... 262 meV/atom
# Magnetic moment ... 0.0000 μB per atom
# Uncorrected formation energy ... -0.0939 eV per atom
data_InTeRh2
_chemical_formula_sum 'In4 Te4 Rh8'
_cell_length_a 6.592
_cell_length_b 6.592
_cell_length_c 6.592
_cell_angle_alpha 90.00
_cell_angle_beta 90.00
_cell_angle_gamma 90.00
_symmetry_space_group_name_H-M 'P 1'
_symmetry_Int_Tables_number 1
_symmetry_space_group_name_Hall 'P 1'
loop_
_atom_site_label
_atom_site_type_symbol
_atom_site_fract_x
_atom_site_fract_y
_atom_site_fract_z
In1 In 0.000 0.000 0.000
In2 In 0.000 0.500 0.500
In3 In 0.500 0.000 0.500
In4 In 0.500 0.500 0.000
Te1 Te 0.000 0.000 0.500
Te2 Te 0.000 0.500 0.000
Te3 Te 0.500 0.000 0.000
Te4 Te 0.500 0.500 0.500
Rh1 Rh 0.250 0.250 0.250
Rh2 Rh 0.250 0.250 0.750
Rh3 Rh 0.250 0.750 0.250
Rh4 Rh 0.250 0.750 0.750
Rh5 Rh 0.750 0.250 0.250
Rh6 Rh 0.750 0.250 0.750
Rh7 Rh 0.750 0.750 0.250
Rh8 Rh 0.750 0.750 0.750



# 11
# PBE In2TeRh, optimized geometry
# Magnetic moment ... 0.0000 μB per atom
# Uncorrected formation energy ... 0.1257 eV per atom
data_In2TeRh
_chemical_formula_sum 'In4 Te2 Rh2'
_cell_length_a 4.736
_cell_length_b 4.736
_cell_length_c 7.949
_cell_angle_alpha 90.00
_cell_angle_beta 90.00
_cell_angle_gamma 90.00
_symmetry_space_group_name_H-M 'P 1'
_symmetry_Int_Tables_number 1
_symmetry_space_group_name_Hall 'P 1'
loop_
_atom_site_label
_atom_site_type_symbol
_atom_site_fract_x
_atom_site_fract_y
_atom_site_fract_z
In1 In 0.000 0.000 0.000
In2 In 0.000 0.500 0.250
In3 In 0.500 0.000 0.750
In4 In 0.500 0.500 0.500
Te1 Te 0.000 0.000 0.500
Te2 Te 0.500 0.500 0.000
Rh1 Rh 0.000 0.500 0.750
Rh2 Rh 0.500 0.000 0.250



# 12
# PBE InTe2Rh2, optimized geometry
# Magnetic moment ... 0.0000 μB per atom
# Uncorrected formation energy ... -0.1896 eV per atom
data_InTe2Rh2
_chemical_formula_sum 'In2 Te4 Rh4'
_cell_length_a 4.154
_cell_length_b 4.154
_cell_length_c 13.941
_cell_angle_alpha 90.00
_cell_angle_beta 90.00
_cell_angle_gamma 90.00
_symmetry_space_group_name_H-M 'P 1'
_symmetry_Int_Tables_number 1
_symmetry_space_group_name_Hall 'P 1'
loop_
_atom_site_label
_atom_site_type_symbol
_atom_site_fract_x
_atom_site_fract_y
_atom_site_fract_z
In1 In 0.000 0.000 0.000
In2 In 0.500 0.500 0.500
Te1 Te 0.000 0.000 0.365
Te2 Te 0.000 0.000 0.635
Te3 Te 0.500 0.500 0.135
Te4 Te 0.500 0.500 0.865
Rh1 Rh 0.000 0.500 0.250
Rh2 Rh 0.000 0.500 0.750
Rh3 Rh 0.500 0.000 0.250
Rh4 Rh 0.500 0.000 0.750